LiCoH8S2O12 | PBE+U | relaxed

Values from the calculation:
The calculation puts the size of the total moment at 8.29 Bohr magnetons per cell. The space-group type is Pc (7). Its raw total energy is -5.46 eV per atom.

Unit cell a=8.208 b=5.645 c=11.032 alpha=73.98 beta=90.00 gamma=90.00
Atoms (fractional coordinates):
Li (0.257, 0.130, 0.636)
Li (0.743, 0.130, 0.136)
Co (0.243, 0.007, 0.996)
Co (0.757, 0.007, 0.496)
H (0.930, 0.083, 0.956)
H (0.368, 0.796, 0.835)
H (0.172, 0.793, 0.821)
H (0.016, 0.336, 0.871)
H (0.571, 0.660, 0.640)
H (0.707, 0.199, 0.690)
H (0.895, 0.224, 0.646)
H (0.488, 0.764, 0.507)
H (0.070, 0.083, 0.456)
H (0.632, 0.796, 0.335)
H (0.828, 0.793, 0.321)
H (0.984, 0.336, 0.371)
H (0.429, 0.660, 0.140)
H (0.293, 0.199, 0.190)
H (0.105, 0.224, 0.146)
H (0.512, 0.764, 0.007)
S (0.536, 0.389, 0.875)
S (0.042, 0.640, 0.640)
S (0.464, 0.389, 0.375)
S (0.958, 0.640, 0.140)
O (0.363, 0.299, 0.919)
O (0.655, 0.246, 0.964)
O (0.030, 0.156, 0.913)
O (0.539, 0.654, 0.870)
O (0.267, 0.901, 0.827)
O (0.019, 0.626, 0.776)
O (0.558, 0.361, 0.746)
O (0.796, 0.120, 0.653)
O (0.086, 0.394, 0.627)
O (0.553, 0.815, 0.572)
O (0.162, 0.832, 0.583)
O (0.878, 0.703, 0.573)
O (0.637, 0.299, 0.419)
O (0.345, 0.246, 0.464)
O (0.970, 0.156, 0.413)
O (0.461, 0.654, 0.370)
O (0.733, 0.901, 0.327)
O (0.981, 0.626, 0.276)
O (0.442, 0.361, 0.246)
O (0.204, 0.120, 0.153)
O (0.914, 0.394, 0.127)
O (0.447, 0.815, 0.072)
O (0.838, 0.832, 0.083)
O (0.122, 0.703, 0.073)